No. 1
La3Sb5Pd6 | Alexandria | PBE | optimized geometry; spin magnetization = 0.00 μB per cell; symmetry = No. 59; raw formation energy = -927 meV per atom
1.0
-3.287 -2.111 2.284
-4.203 -3.066 -8.882
7.540 -11.360 0.354
La Sb Pd
6 10 12
Direct
0.000 0.247 0.673
0.500 0.757 0.500
0.000 0.243 0.000
0.000 0.247 0.327
0.500 0.753 0.173
0.500 0.753 0.827
0.000 0.863 0.336
0.000 0.521 0.127
0.000 0.836 0.000
0.500 0.137 0.836
0.000 0.521 0.873
0.000 0.863 0.664
0.500 0.137 0.164
0.500 0.479 0.627
0.500 0.479 0.373
0.500 0.164 0.500
0.500 0.007 0.339
0.500 0.519 0.000
0.500 0.394 0.817
0.500 0.394 0.183
0.000 0.481 0.500
0.000 0.993 0.839
0.000 0.993 0.161
0.000 0.014 0.500
0.000 0.606 0.683
0.500 0.986 0.000
0.500 0.007 0.661
0.000 0.606 0.317

---

No. 2
Sc3SbSO | Alexandria | PBE | optimized geometry; spin magnetization = 0.00 μB per cell; symmetry = No. 11; raw formation energy = -1854 meV per atom
1.0
3.776 0.000 0.000
0.000 7.944 0.669
0.000 -2.369 7.944
Sc S Sb O
6 2 2 2
Direct
0.250 0.118 0.852
0.250 0.574 0.861
0.750 0.426 0.139
0.750 0.162 0.511
0.250 0.838 0.489
0.750 0.882 0.148
0.250 0.655 0.176
0.750 0.345 0.824
0.250 0.179 0.220
0.750 0.821 0.780
0.750 0.904 0.409
0.250 0.096 0.591

---

No. 3
BeZnTe2 | Alexandria | PBE | optimized geometry; spin magnetization = 0.00 μB per cell; symmetry = No. 225; raw formation energy = 507 meV per atom
1.0
0.000 3.485 3.485
3.485 0.000 3.485
3.485 3.485 0.000
Te Be Zn
2 1 1
Direct
0.250 0.250 0.250
0.750 0.750 0.750
0.000 0.000 0.000
0.500 0.500 0.500

---

No. 4
ScBe3I | Alexandria | PBE | optimized geometry; spin magnetization = 0.00 μB per cell; symmetry = No. 221; raw formation energy = 1619 meV per atom
1.0
-3.400 3.282 -2.086
-1.177 -3.509 -3.603
-3.706 -1.896 3.057
I Be Sc
1 3 1
Direct
0.500 0.500 0.500
0.500 0.000 0.000
0.000 0.000 0.500
0.000 0.500 0.000
0.000 0.000 0.000